(1)
A plane-wave DFT calculation with GGA-PBEsol was carried out for Co5Ni after structural relaxation.

Values from the calculation:
excess energy over the best structure of this formula in the dataset	0	meV/atom
DFT formation energy	-0.0097	eV per atom
total magnetic moment	1.421	μB per atom

Geometry as CIF:
```
data_Co5Ni
_symmetry_space_group_name_H-M 'P 1'
_symmetry_Int_Tables_number 1
_cell_length_a 3.9547
_cell_length_b 4.2519
_cell_length_c 4.2519
_cell_angle_alpha 120.00
_cell_angle_beta 90.00
_cell_angle_gamma 90.00
loop_
_symmetry_equiv_pos_as_xyz
'x,y,z'
loop_
_atom_site_label
_atom_site_fract_x
_atom_site_fract_y
_atom_site_fract_z
Co1 0.0000 0.3340 0.3340
Co2 0.5000 0.6667 0.3333
Co3 0.0000 0.6660 0.0000
Co4 0.0000 0.0000 0.6660
Ni1 0.5000 0.0000 0.0000
Co5 0.5000 0.3333 0.6667
```



(2)
A plane-wave DFT calculation with GGA-PBEsol was carried out for CoNi3 after structural relaxation.

Values from the calculation:
DFT formation energy	-0.0051	eV per atom
total magnetic moment	0.878	μB per atom

Geometry as CIF:
```
data_CoNi3
_symmetry_space_group_name_H-M 'P 1'
_symmetry_Int_Tables_number 1
_cell_length_a 2.4347
_cell_length_b 3.4755
_cell_length_c 4.8901
_cell_angle_alpha 90.00
_cell_angle_beta 89.96
_cell_angle_gamma 90.00
loop_
_symmetry_equiv_pos_as_xyz
'x,y,z'
loop_
_atom_site_label
_atom_site_fract_x
_atom_site_fract_y
_atom_site_fract_z
Ni1 0.0000 0.0000 0.5000
Co1 0.0000 0.0000 0.0000
Ni2 0.5000 0.5000 0.2481
Ni3 0.5000 0.5000 0.7520
```